{"formula": "RuWIO2", "functional": "GGA+U", "state": "relaxed", "vol_a3_per_atom": 19.27, "e_above_lowest_polymorph_mev_per_atom": 604, "lattice": [[-0.421, 2.035, 3.352], [1.845, -2.871, 1.975], [5.437, 2.795, -1.015]], "species": ["I", "Ru", "O", "O", "W"], "frac_coords": [[0.000, 0.000, 0.500], [0.000, 0.000, 0.000], [0.000, 0.500, 0.000], [0.500, 0.000, 0.000], [0.500, 0.500, 0.500]]}